The following is a DFT calculation (GGA-PBE) of a geometry-optimized LaSi2Br structure.

Output
- Volume: 90.9 Å³/cell
- Space group: I4/mmm, No. 139
- Formation energy from raw total energies: -119 kJ/mol of formula units
- Polymorph energy (0 for the lowest one): 0.442 eV/atom

abc: 6.118 6.118 6.118
angles: 140.77 140.77 56.69
Fractional positions:
La 0.000 0.000 0.000
Si 0.250 0.750 0.500
Si 0.750 0.250 0.500
Br 0.500 0.500 0.000